## La12Tb6Nd (GGA-PBE)

Data for a geometry-optimized La12Tb6Nd structure.

POSCAR file:
```
La12Tb6Nd
1.0
8.9441 0.0938 -2.7718
-3.7858 8.1039 -2.7718
0.0590 0.0938 9.3635
Tb La Nd
6 12 1
direct
0.9186 0.8082 0.5497
0.0814 0.1918 0.4503
0.8082 0.5497 0.9186
0.4503 0.0814 0.1918
0.1918 0.4503 0.0814
0.5497 0.9186 0.8082
0.7141 0.8735 0.1789
0.5164 0.8033 0.4215
0.1789 0.7141 0.8735
0.2859 0.1265 0.8211
0.1265 0.8211 0.2859
0.5785 0.4836 0.1967
0.8033 0.4215 0.5164
0.8735 0.1789 0.7141
0.1967 0.5785 0.4836
0.4215 0.5164 0.8033
0.4836 0.1967 0.5785
0.8211 0.2859 0.1265
0.0000 0.0000 0.0000
```

## Properties
Energy of formation, meV/atom: 215

---

## LaZrW (GGA-PBE)

Data for a geometry-optimized LaZrW structure.

POSCAR file:
```
LaZrW
1.0
3.3762 0.0000 0.0000
-1.6881 2.9239 0.0000
0.0000 0.0000 7.3069
La W Zr
1 1 1
direct
0.0000 0.0000 0.0297
0.6667 0.3333 0.3517
0.3333 0.6667 0.6186
```

## Properties
Distance to the lowest polymorph of the same formula, eV per atom: 0.1930
Energy of formation, meV/atom: 591

---

## BaCd2Fe2 (GGA-PBE)

Data for a geometry-optimized BaCd2Fe2 structure.

POSCAR file:
```
BaCd2Fe2
1.0
8.4395 0.0000 0.0000
0.0000 8.4395 0.0000
0.0000 0.0000 3.0487
Fe Ba Cd
4 2 4
direct
0.1712 0.6712 0.5000
0.6712 0.8288 0.5000
0.8288 0.3288 0.5000
0.3288 0.1712 0.5000
0.0000 0.0000 0.0000
0.5000 0.5000 0.0000
0.3772 0.8772 0.0000
0.8772 0.6228 0.0000
0.1228 0.3772 0.0000
0.6228 0.1228 0.0000
```

## Properties
Energy of formation, meV/atom: 552

---

Please write out number 3 again, unchanged.
## BaCd2Fe2 (GGA-PBE)

Data for a geometry-optimized BaCd2Fe2 structure.

POSCAR file:
```
BaCd2Fe2
1.0
8.4395 0.0000 0.0000
0.0000 8.4395 0.0000
0.0000 0.0000 3.0487
Fe Ba Cd
4 2 4
direct
0.1712 0.6712 0.5000
0.6712 0.8288 0.5000
0.8288 0.3288 0.5000
0.3288 0.1712 0.5000
0.0000 0.0000 0.0000
0.5000 0.5000 0.0000
0.3772 0.8772 0.0000
0.8772 0.6228 0.0000
0.1228 0.3772 0.0000
0.6228 0.1228 0.0000
```

## Properties
Energy of formation, meV/atom: 552

---

Q: The highest energy of formation belongs to which entry?
A: LaZrW

---

Q: What is the formula in the second record?
A: LaZrW

---

Q: Look up the energy of formation of the second one.
A: 591 meV/atom